Below is a geometry-optimized Tc3CN structure, with properties calculated at the PBE level.

Calculated density = 8.4 g/cm3
ΔE to the lowest computed polymorph = 0 kJ/mol of formula units
E = -8.50 eV per atom
Symmetry = Pm-3m
Formation energy (no corrections) = 1.234 eV/atom

Unit cell a=3.979 b=3.979 c=3.979 alpha=90.00 beta=90.00 gamma=90.00
Sites, in units of the cell vectors:
Tc1 0.000 0.000 0.500
Tc2 0.000 0.500 0.000
Tc3 0.500 0.000 0.000
C1 0.500 0.500 0.500
N1 0.000 0.000 0.000